This record from Alexandria describes a geometry-optimized ThMg3In4 structure. The functional is PBE-GGA.

## Properties
Formation energy ... -152 meV per atom

Lattice parameters (Å, degrees): 4.8922 8.2859 9.7840 90.00 90.00 90.00
Last column: nearest neighbours and their distance in Å.
Atoms (fractional coordinates):
Mg 0.0000 0.0000 0.0000  8 In 3.11, 4 Mg 3.45-3.46
Mg 0.0000 0.0000 0.5000  8 In 3.11, 4 Mg 3.45-3.46
Mg 0.4985 0.0000 0.7500  8 In 3.11, 4 Mg 3.45-3.46
Mg 0.5015 0.0000 0.2500  8 In 3.11, 4 Mg 3.45-3.46
Mg 0.4995 0.5000 0.7500  8 In 3.31, 4 Th 3.46
Mg 0.5005 0.5000 0.2500  8 In 3.31, 4 Th 3.46
Th 0.0000 0.5000 0.0000  8 In 3.31, 4 Mg 3.46
Th 0.0000 0.5000 0.5000  8 In 3.31, 4 Mg 3.46
In 0.5000 0.7692 0.0000  6 Mg 3.11-3.31, 2 Th 3.31, 4 In 3.45-3.46
In 0.5000 0.7692 0.5000  6 Mg 3.11-3.31, 2 Th 3.31, 4 In 3.45-3.46
In 0.5000 0.2308 0.0000  6 Mg 3.11-3.31, 2 Th 3.31, 4 In 3.45-3.46
In 0.5000 0.2308 0.5000  6 Mg 3.11-3.31, 2 Th 3.31, 4 In 3.45-3.46
In 0.9986 0.7691 0.7500  6 Mg 3.11-3.31, 2 Th 3.31, 4 In 3.45-3.46
In 0.0014 0.7691 0.2500  6 Mg 3.11-3.31, 2 Th 3.31, 4 In 3.45-3.46
In 0.0014 0.2309 0.2500  6 Mg 3.11-3.31, 2 Th 3.31, 4 In 3.45-3.46
In 0.9986 0.2309 0.7500  6 Mg 3.11-3.31, 2 Th 3.31, 4 In 3.45-3.46

=====

This record from Alexandria describes a geometry-optimized ThMgIn2 structure. The functional is PBE-GGA.

## Properties
Formation energy ... -156 meV per atom

Lattice parameters (Å, degrees): 4.7929 4.7929 6.0659 66.73 66.73 60.00
Last column: nearest neighbours and their distance in Å.
Atoms (fractional coordinates):
Mg 0.5000 0.5000 0.5000  6 In 2.93
Th 0.0000 0.0000 0.0000  8 In 3.27-3.65
In 0.7744 0.7744 0.6767  3 Mg 2.93, 3 Th 3.27
In 0.2256 0.2256 0.3233  3 Mg 2.93, 3 Th 3.27